(1)
Material: Cr2SbIr
Method: DFT, GGA-PBEsol
State: relaxed

raw formation energy: 0.0797 eV per atom

a b c (Å): 3.923 3.923 7.655
angles (deg): 90.00 90.00 90.00
Space group I-4m2 (No. 119)
Inequivalent atoms, fractional coordinates:
1 Cr 0.000 0.000 0.000
2 Cr 0.000 0.500 0.250
3 Sb 0.000 0.500 0.750
4 Ir 0.000 0.000 0.500


(2)
Material: Cr2SbIr
Method: DFT, GGA-PBEsol
State: relaxed

raw formation energy: 0.1975 eV per atom

a b c (Å): 3.874 3.874 7.667
angles (deg): 90.00 90.00 90.00
Space group I4/mmm (No. 139)
Inequivalent atoms, fractional coordinates:
1 Cr 0.000 0.500 0.250
2 Sb 0.000 0.000 0.000
3 Ir 0.000 0.000 0.500


(3)
Material: CrSbIr4
Method: DFT, GGA-PBEsol
State: relaxed

raw formation energy: 0.4929 eV per atom

a b c (Å): 7.343 7.343 7.343
angles (deg): 90.00 90.00 90.00
Space group F-43m (No. 216)
Inequivalent atoms, fractional coordinates:
1 Cr 0.000 0.000 0.000
2 Sb 0.250 0.250 0.750
3 Ir 0.125 0.125 0.375